Entry 1:
Crystalline CaHf2Tl at its relaxed geometry, computed with PBE.

abc: 8.503 8.503 5.994
angles: 90.00 90.00 90.00
Space group I-42d (No. 122)
Symmetry-distinct sites (fractional):
Ca: 0.000 0.000 0.000 [4 per cell]
Hf: 0.218 0.250 0.625 [8 per cell]
Tl: 0.000 0.000 0.500 [4 per cell]

Values from the calculation:
As for the density of states at the Fermi level: 25.65 states/eV/cell. The energy of formation from the pure elements comes out at 0.641 eV per atom. The calculation puts the total energy at -86.8 eV per cell. As for the energy above the most stable polymorph in this dataset: 0.165 eV per atom.


Entry 2:
Crystalline Ca2HfTl at its relaxed geometry, computed with PBE.

abc: 7.747 7.747 7.747
angles: 90.00 90.00 90.00
Space group Fm-3m (No. 225)
Symmetry-distinct sites (fractional):
Ca: 0.250 0.250 0.250 [8 per cell]
Hf: 0.000 0.000 0.000 [4 per cell]
Tl: 0.000 0.000 0.500 [4 per cell]

Values from the calculation:
As for the density of states at the Fermi level: 23.26 states/eV/cell. The energy of formation from the pure elements comes out at 0.329 eV per atom. The calculation puts the total energy at -60.0 eV per cell. As for the energy above the most stable polymorph in this dataset: 0.000 eV per atom.


Entry 3:
Crystalline CaHf2Tl2 at its relaxed geometry, computed with PBE.

abc: 8.772 8.772 3.310
angles: 90.00 90.00 90.00
Space group P4/mbm (No. 127)
Symmetry-distinct sites (fractional):
Ca: 0.000 0.000 0.000 [2 per cell]
Hf: 0.126 0.374 0.500 [4 per cell]
Tl: 0.170 0.670 0.000 [4 per cell]

Values from the calculation:
As for the density of states at the Fermi level: 3.40 states/eV/cell. The energy of formation from the pure elements comes out at 0.105 eV per atom. The calculation puts the total energy at -52.2 eV per cell. As for the energy above the most stable polymorph in this dataset: 0.000 eV per atom.


Entry 4:
Crystalline Ca2HfTl2 at its relaxed geometry, computed with PBE.

abc: 8.159 8.159 4.283
angles: 90.00 90.00 90.00
Space group P4/mbm (No. 127)
Symmetry-distinct sites (fractional):
Ca: 0.166 0.334 0.000 [4 per cell]
Hf: 0.000 0.000 0.500 [2 per cell]
Tl: 0.140 0.640 0.500 [4 per cell]

Values from the calculation:
As for the density of states at the Fermi level: 7.38 states/eV/cell. The energy of formation from the pure elements comes out at 0.022 eV per atom. The calculation puts the total energy at -37.2 eV per cell.